Compound: ZrMn2Cl
Source: Alexandria via LeMat-Bulk
Functional: PBE
Structure: relaxed

Cell: 8.525 8.525 8.525 Å, 21.70 21.70 21.70°
Fractional coordinates of all 4 atoms:
Zr 0.000 0.000 0.000
Mn 0.245 0.245 0.245
Mn 0.755 0.755 0.755
Cl 0.500 0.500 0.500

Computed properties:
Excess energy over the best structure of this formula in the dataset   76 kJ/mol of formula units
ΔE_f (raw)   0.033 eV per atom
Total DFT energy (no corrections)   -7.15 eV per atom
Calculated density   5.29 g/cm³

=====

Compound: ZrMnCl2
Source: Alexandria via LeMat-Bulk
Functional: PBE
Structure: relaxed

Cell: 3.295 4.453 5.502 Å, 90.00 93.59 90.00°
Fractional coordinates of all 4 atoms:
Zr 0.000 0.000 0.000
Mn 0.500 0.000 0.500
Cl 0.216 0.500 0.244
Cl 0.784 0.500 0.756

Computed properties:
Excess energy over the best structure of this formula in the dataset   184 kJ/mol of formula units
ΔE_f (raw)   -0.358 eV per atom
Total DFT energy (no corrections)   -5.71 eV per atom
Calculated density   4.47 g/cm³

=====

What is the calculated density in the first record?
5.29 g/cm³